(1)
A plane-wave DFT calculation with PBE was carried out for a relaxed structure of Sm3MgSi4.

Unit cell a=4.2610 b=5.9941 c=15.3829 alpha=90.00 beta=90.00 gamma=90.00
Positions (direct):
Sm  0.0000  0.0000  0.0000
Sm  0.0000  0.5000  0.1910
Sm  0.0000  0.5000  0.8090
Sm  0.5000  0.0000  0.3090
Sm  0.5000  0.0000  0.6910
Sm  0.5000  0.5000  0.5000
Mg  0.0000  0.0000  0.5000
Mg  0.5000  0.5000  0.0000
Si  0.0000  0.3080  0.3726
Si  0.0000  0.3080  0.6274
Si  0.0000  0.6920  0.3726
Si  0.0000  0.6920  0.6274
Si  0.5000  0.1920  0.1274
Si  0.5000  0.1920  0.8726
Si  0.5000  0.8080  0.1274
Si  0.5000  0.8080  0.8726

Properties
SG = Immm (71)
total energy = -5.19 eV per atom
E_form (uncorrected) = -49.46 kJ/mol of atoms

---

(2)
A plane-wave DFT calculation with PBE was carried out for a relaxed structure of SmMgSi4.

Unit cell a=5.3102 b=5.3102 c=5.3102 alpha=60.00 beta=60.00 gamma=60.00
Positions (direct):
Sm  0.0000  0.0000  0.0000
Mg  0.2500  0.2500  0.2500
Si  0.1329  0.6224  0.6224
Si  0.6224  0.1329  0.6224
Si  0.6224  0.6224  0.1329
Si  0.6224  0.6224  0.6224

Properties
SG = F-43m (216)
total energy = -4.84 eV per atom
E_form (uncorrected) = -16.42 kJ/mol of atoms